No. 1
A plane-wave DFT calculation with PBE was carried out for SiGe2Au2 after structural relaxation.

Lattice parameters (Å, degrees): 7.009 7.009 7.009 147.56 147.56 46.53
Fractional positions:
Si1 0.000 0.000 0.000
Ge1 0.250 0.750 0.500
Ge2 0.750 0.250 0.500
Au1 0.397 0.397 0.000
Au2 0.603 0.603 0.000

Results
The volume is 19.75 Å³ per atom. For the total energy, the calculation gives -3.8753 eV per atom.


No. 2
A plane-wave DFT calculation with PBE was carried out for Sc3Si3Pd2 after structural relaxation.

Lattice parameters (Å, degrees): 5.462 5.462 13.263 90.00 90.00 136.26
Fractional positions:
Sc1 0.076 0.924 0.614
Sc2 0.076 0.924 0.886
Sc3 0.354 0.646 0.750
Sc4 0.646 0.354 0.250
Sc5 0.924 0.076 0.114
Sc6 0.924 0.076 0.386
Si1 0.356 0.644 0.250
Si2 0.398 0.602 0.542
Si3 0.398 0.602 0.958
Si4 0.602 0.398 0.042
Si5 0.602 0.398 0.458
Si6 0.644 0.356 0.750
Pd1 0.216 0.784 0.092
Pd2 0.216 0.784 0.408
Pd3 0.784 0.216 0.592
Pd4 0.784 0.216 0.908

Results
The volume is 17.10 Å³ per atom. For the total energy, the calculation gives -6.6508 eV per atom.


No. 3
A plane-wave DFT calculation with PBE was carried out for PrCuGe after structural relaxation.

Lattice parameters (Å, degrees): 4.539 4.539 4.539 60.00 60.00 60.00
Fractional positions:
Pr1 0.000 0.000 0.000
Cu1 0.750 0.750 0.750
Ge1 0.500 0.500 0.500

Results
The volume is 22.04 Å³ per atom. For the total energy, the calculation gives -4.8788 eV per atom.


No. 4
A plane-wave DFT calculation with PBE was carried out for LiHoGe after structural relaxation.

Lattice parameters (Å, degrees): 7.085 4.289 7.786 90.00 90.00 90.00
Fractional positions:
Li1 0.161 0.250 0.070
Li2 0.339 0.750 0.570
Li3 0.661 0.250 0.430
Li4 0.839 0.750 0.930
Ho1 0.012 0.250 0.705
Ho2 0.488 0.750 0.205
Ho3 0.512 0.250 0.795
Ho4 0.988 0.750 0.295
Ge1 0.236 0.750 0.899
Ge2 0.264 0.250 0.399
Ge3 0.736 0.750 0.601
Ge4 0.764 0.250 0.101

Results
The volume is 19.72 Å³ per atom. For the total energy, the calculation gives -4.3996 eV per atom.


No. 5
A plane-wave DFT calculation with PBE was carried out for Dy3Lu4Te2Pd2 after structural relaxation.

Lattice parameters (Å, degrees): 9.311 9.311 9.311 155.73 67.47 118.13
Fractional positions:
Dy1 0.000 0.000 0.000
Dy2 0.452 0.581 0.870
Dy3 0.711 0.581 0.130
Lu1 0.057 0.374 0.683
Lu2 0.088 0.733 0.355
Lu3 0.378 0.733 0.645
Lu4 0.691 0.374 0.317
Te1 0.333 0.333 0.000
Te2 0.737 0.237 0.500
Pd1 0.303 0.069 0.234
Pd2 0.835 0.069 0.766

Results
The calculation puts the offset from the most stable computed form at 0.005 eV/atom. The volume is 26.38 Å³ per atom.


No. 6
A plane-wave DFT calculation with PBE was carried out for CdW2C after structural relaxation.

Lattice parameters (Å, degrees): 3.052 3.052 14.554 90.00 90.00 120.01
Fractional positions:
Cd1 0.165 0.835 0.750
Cd2 0.835 0.165 0.250
W1 0.167 0.833 0.081
W2 0.167 0.833 0.419
W3 0.833 0.167 0.581
W4 0.833 0.167 0.919
C1 0.500 0.500 0.000
C2 0.500 0.500 0.500

Results
The volume is 14.68 Å³ per atom. For the total energy, the calculation gives -8.7677 eV per atom.


No. 7
A plane-wave DFT calculation with PBE was carried out for GaMoAu2 after structural relaxation.

Lattice parameters (Å, degrees): 4.584 4.584 4.584 60.00 60.00 60.00
Fractional positions:
Ga1 0.000 0.000 0.000
Mo1 0.250 0.250 0.250
Au1 0.500 0.500 0.500
Au2 0.750 0.750 0.750

Results
The volume is 17.03 Å³ per atom. For the total energy, the calculation gives -4.8558 eV per atom.


No. 8
A plane-wave DFT calculation with PBE was carried out for ZnSe after structural relaxation.

Lattice parameters (Å, degrees): 4.050 4.050 4.050 60.00 60.00 60.00
Fractional positions:
Zn1 0.000 0.000 0.000
Se1 0.750 0.750 0.750

Results
The volume is 23.49 Å³ per atom. For the total energy, the calculation gives -3.0932 eV per atom.


No. 9
A plane-wave DFT calculation with PBE was carried out for GePt9 after structural relaxation.

Lattice parameters (Å, degrees): 2.810 3.950 41.860 90.00 90.00 90.00
Fractional positions:
Ge1 0.250 0.250 0.184
Ge2 0.750 0.750 0.816
Pt1 0.250 0.250 0.246
Pt2 0.250 0.250 0.315
Pt3 0.250 0.250 0.383
Pt4 0.250 0.250 0.449
Pt5 0.250 0.250 0.517
Pt6 0.250 0.250 0.584
Pt7 0.250 0.250 0.651
Pt8 0.250 0.250 0.720
Pt9 0.250 0.250 0.790
Pt10 0.750 0.750 0.210
Pt11 0.750 0.750 0.280
Pt12 0.750 0.750 0.349
Pt13 0.750 0.750 0.416
Pt14 0.750 0.750 0.483
Pt15 0.750 0.750 0.551
Pt16 0.750 0.750 0.617
Pt17 0.750 0.750 0.685
Pt18 0.750 0.750 0.754

Results
The calculation puts the offset from the most stable computed form at 0.000 eV/atom. The volume is 23.23 Å³ per atom.


No. 10
A plane-wave DFT calculation with PBE was carried out for ZnFeHgW after structural relaxation.

Lattice parameters (Å, degrees): 4.469 4.469 4.469 60.00 60.00 60.00
Fractional positions:
Zn1 0.000 0.000 0.000
Fe1 0.250 0.250 0.250
Hg1 0.750 0.750 0.750
W1 0.500 0.500 0.500

Results
The calculation puts the offset from the most stable computed form at 0.000 eV/atom. The volume is 15.78 Å³ per atom. For the formation energy, the calculation gives 0.679 eV/atom.


No. 11
A plane-wave DFT calculation with PBE was carried out for ZrCdOs2 after structural relaxation.

Lattice parameters (Å, degrees): 4.608 4.608 4.608 60.00 60.00 60.00
Fractional positions:
Zr1 0.000 0.000 0.000
Cd1 0.250 0.250 0.250
Os1 0.500 0.500 0.500
Os2 0.750 0.750 0.750

Results
The volume is 17.30 Å³ per atom. For the formation energy, the calculation gives 0.419 eV/atom.


No. 12
A plane-wave DFT calculation with PBE was carried out for TePdNO after structural relaxation.

Lattice parameters (Å, degrees): 3.597 6.596 5.407 90.00 90.00 90.00
Fractional positions:
Te1 0.000 0.197 0.000
Te2 0.000 0.803 0.500
Pd1 0.500 0.453 0.506
Pd2 0.500 0.547 0.006
N1 0.500 0.271 0.805
N2 0.500 0.729 0.305
O1 0.000 0.080 0.366
O2 0.000 0.920 0.866

Results
The calculation puts the offset from the most stable computed form at 0.096 eV/atom. The volume is 16.04 Å³ per atom.


No. 13
A plane-wave DFT calculation with PBE was carried out for AlHgPd after structural relaxation.

Lattice parameters (Å, degrees): 4.408 4.408 4.408 60.00 60.00 60.00
Fractional positions:
Al1 0.000 0.000 0.000
Hg1 0.500 0.500 0.500
Pd1 0.250 0.250 0.250

Results
The calculation puts the offset from the most stable computed form at 0.000 eV/atom. The volume is 20.19 Å³ per atom.


No. 14
A plane-wave DFT calculation with PBE was carried out for Rb2TcSeS2 after structural relaxation.

Lattice parameters (Å, degrees): 7.756 7.756 9.962 121.69 121.69 53.44
Fractional positions:
Rb1 0.081 0.081 0.365
Rb2 0.298 0.298 0.183
Rb3 0.702 0.702 0.817
Rb4 0.919 0.919 0.635
Tc1 0.394 0.394 0.844
Tc2 0.606 0.606 0.156
Se1 0.391 0.391 0.603
Se2 0.609 0.609 0.397
S1 0.210 0.210 0.781
S2 0.242 0.758 0.000
S3 0.758 0.242 0.000
S4 0.790 0.790 0.219

Results
The volume is 32.44 Å³ per atom. For the total energy, the calculation gives -4.7996 eV per atom.


No. 15
A plane-wave DFT calculation with PBE was carried out for GdSnAuSe2S after structural relaxation.

Lattice parameters (Å, degrees): 7.126 7.126 10.315 90.00 90.00 146.80
Fractional positions:
Gd1 0.000 0.000 0.000
Gd2 0.000 0.000 0.500
Sn1 0.253 0.747 0.750
Sn2 0.747 0.253 0.250
Au1 0.471 0.529 0.250
Au2 0.529 0.471 0.750
Se1 0.350 0.650 0.055
Se2 0.350 0.650 0.445
Se3 0.650 0.350 0.555
Se4 0.650 0.350 0.945
S1 0.090 0.910 0.250
S2 0.910 0.090 0.750

Results
The volume is 23.90 Å³ per atom. For the total energy, the calculation gives -4.7197 eV per atom.


No. 16
A plane-wave DFT calculation with PBE was carried out for PrNd3Au4 after structural relaxation.

Lattice parameters (Å, degrees): 5.867 4.824 7.478 90.00 90.22 90.00
Fractional positions:
Pr1 0.000 0.000 0.000
Nd1 0.286 0.500 0.370
Nd2 0.500 0.500 0.869
Nd3 0.786 0.000 0.501
Au1 0.293 0.000 0.643
Au2 0.494 0.000 0.145
Au3 0.791 0.500 0.228
Au4 0.993 0.500 0.723

Results
The volume is 26.45 Å³ per atom. For the formation energy, the calculation gives -0.810 eV/atom.


No. 17
A plane-wave DFT calculation with PBE was carried out for In2Hg2PdCl8 after structural relaxation.

Lattice parameters (Å, degrees): 6.640 6.640 9.937 105.83 105.83 61.67
Fractional positions:
In1 0.104 0.104 0.344
In2 0.896 0.896 0.656
Hg1 0.366 0.366 0.097
Hg2 0.634 0.634 0.903
Pd1 0.500 0.500 0.500
Cl1 0.124 0.604 0.375
Cl2 0.150 0.150 0.997
Cl3 0.396 0.876 0.625
Cl4 0.417 0.417 0.808
Cl5 0.583 0.583 0.192
Cl6 0.604 0.124 0.375
Cl7 0.850 0.850 0.003
Cl8 0.876 0.396 0.625

Results
The volume is 28.13 Å³ per atom. For the total energy, the calculation gives -2.6497 eV per atom.


No. 18
A plane-wave DFT calculation with PBE was carried out for CdSiO3 after structural relaxation.

Lattice parameters (Å, degrees): 3.581 3.581 3.581 90.00 90.00 90.00
Fractional positions:
Cd1 0.000 0.000 0.000
Si1 0.500 0.500 0.500
O1 0.000 0.500 0.500
O2 0.500 0.000 0.500
O3 0.500 0.500 0.000

Results
The volume is 9.18 Å³ per atom. For the total energy, the calculation gives -5.9852 eV per atom.


No. 19
A plane-wave DFT calculation with PBE was carried out for HoScCd after structural relaxation.

Lattice parameters (Å, degrees): 4.967 4.967 4.967 60.00 60.00 60.00
Fractional positions:
Ho1 0.000 0.000 0.000
Sc1 0.250 0.250 0.250
Cd1 0.750 0.750 0.750

Results
The calculation puts the offset from the most stable computed form at 0.100 eV/atom. The volume is 28.88 Å³ per atom. For the formation energy, the calculation gives 0.565 eV/atom.


No. 20
A plane-wave DFT calculation with PBE was carried out for YPbAuSe3 after structural relaxation.

Lattice parameters (Å, degrees): 9.459 9.459 8.485 101.51 101.51 24.81
Fractional positions:
Y1 0.163 0.163 0.091
Y2 0.837 0.837 0.909
Pb1 0.127 0.127 0.578
Pb2 0.873 0.873 0.422
Au1 0.453 0.453 0.783
Au2 0.547 0.547 0.217
Se1 0.000 0.000 0.000
Se2 0.312 0.312 0.661
Se3 0.324 0.324 0.141
Se4 0.500 0.500 0.500
Se5 0.676 0.676 0.859
Se6 0.688 0.688 0.339

Results
The calculation puts the offset from the most stable computed form at 0.053 eV/atom. The volume is 25.99 Å³ per atom.